[1]
This record from the Alexandria database describes a relaxed structure of PrTm4In4. The functional is PBE.

Calculated values
The formation enthalpy at 0 K comes out at -183 meV per atom. The symmetry is No. 137.

a b c (Å): 7.232 7.232 10.434
angles (deg): 90.00 90.00 90.00
Fractional positions:
1 In 0.500 0.791 0.794
2 Tm 0.000 0.265 0.409
3 Tm 0.265 0.000 0.591
4 In 0.291 0.000 0.294
5 In 0.791 0.500 0.206
6 In 0.000 0.709 0.706
7 In 0.000 0.291 0.706
8 Tm 0.235 0.500 0.909
9 Tm 0.735 0.000 0.591
10 Tm 0.500 0.765 0.091
11 Pr 0.000 0.000 0.000
12 In 0.709 0.000 0.294
13 Tm 0.765 0.500 0.909
14 Tm 0.000 0.735 0.409
15 Tm 0.500 0.235 0.091
16 In 0.209 0.500 0.206
17 In 0.500 0.209 0.794
18 Pr 0.500 0.500 0.500

[2]
This record from the Alexandria database describes a relaxed structure of Ac2SiI. The functional is PBE.

Calculated values
As for the energy above the most stable polymorph in this dataset: 0.2337 eV per atom. The symmetry is No. 123. The value obtained for the energy relative to the elements, uncorrected is -0.693 eV per atom.

a b c (Å): 3.929 3.929 8.429
angles (deg): 90.00 90.00 90.00
Fractional positions:
1 Ac 0.000 0.000 0.210
2 Ac 0.000 0.000 0.790
3 Si 0.500 0.500 0.000
4 I 0.500 0.500 0.500

[3]
This record from the Alexandria database describes a relaxed structure of PCl3F. The functional is PBE.

Calculated values
As for the energy above the most stable polymorph in this dataset: 0.0000 eV per atom. The symmetry is No. 13. The value obtained for the energy relative to the elements, uncorrected is -0.974 eV per atom.

a b c (Å): 13.768 6.186 9.526
angles (deg): 68.19 90.00 90.00
Fractional positions:
1 P 0.845 0.925 0.565
2 F 0.908 0.863 0.443
3 P 0.845 0.075 0.935
4 Cl 0.448 0.327 0.800
5 Cl 0.288 0.805 0.028
6 Cl 0.830 0.278 0.450
7 Cl 0.170 0.278 0.950
8 Cl 0.712 0.805 0.528
9 P 0.155 0.075 0.435
10 F 0.092 0.863 0.943
11 Cl 0.170 0.722 0.550
12 Cl 0.712 0.195 0.972
13 Cl 0.288 0.195 0.472
14 Cl 0.448 0.673 0.700
15 P 0.155 0.925 0.065
16 F 0.908 0.137 0.057
17 Cl 0.552 0.673 0.200
18 F 0.092 0.137 0.557
19 Cl 0.552 0.327 0.300
20 Cl 0.830 0.722 0.050

Taking the records one at a time from the top gives magnetic moment values of 0.0 0.0 0.0 μB/cell.